# PBE Co3Ni9P4, optimized geometry
data_Co3Ni9P4
_chemical_formula_sum 'Co3 Ni9 P4'
_space_group_name_H-M_alt 'P 1'
_space_group_IT_number 1
_cell_length_a 4.3536
_cell_length_b 6.7058
_cell_length_c 6.7082
_cell_angle_alpha 84.21
_cell_angle_beta 71.14
_cell_angle_gamma 71.14
loop_
_space_group_symop_operation_xyz
'x,y,z'
loop_
_atom_site_label
_atom_site_fract_x
_atom_site_fract_y
_atom_site_fract_z
Co1 0.0000 0.0000 0.0000
Co2 0.2100 0.6410 0.9377
Co3 0.5303 0.7857 0.1545
Ni1 0.2446 0.4878 0.5705
Ni2 0.2729 0.8723 0.5760
Ni3 0.3967 0.2086 0.0172
Ni4 0.5167 0.1529 0.3634
Ni5 0.6895 0.8541 0.7827
Ni6 0.8026 0.2181 0.6346
Ni7 0.8350 0.4316 0.9161
Ni8 0.8716 0.4207 0.2996
Ni9 0.9289 0.7683 0.3575
P1 0.0912 0.0575 0.3014
P2 0.2899 0.1556 0.7289
P3 0.3892 0.4853 0.2062
P4 0.6613 0.5823 0.6334
# Theoretical density   7.85 g cm⁻³
# Crystal system   triclinic
# Energy of formation from the pure elements   -396 meV/atom

=====

# PBE Sr2MgAlPt, optimized geometry
data_Sr2MgAlPt
_chemical_formula_sum 'Sr2 Mg1 Al1 Pt1'
_space_group_name_H-M_alt 'P 4/m m m'
_space_group_IT_number 123
_space_group_name_Hall '-P 4 2'
_cell_length_a 5.9456
_cell_length_b 5.9456
_cell_length_c 4.7965
_cell_angle_alpha 90.00
_cell_angle_beta 90.00
_cell_angle_gamma 90.00
loop_
_atom_site_label
_atom_site_fract_x
_atom_site_fract_y
_atom_site_fract_z
Sr1 0.0000 0.5000 0.0000
Mg1 0.0000 0.0000 0.5000
Al1 0.5000 0.5000 0.5000
Pt1 0.5000 0.5000 0.0000
# Theoretical density   4.13 g cm⁻³
# Crystal system   tetragonal
# Energy of formation from the pure elements   -384 meV/atom

=====

# PBE SrBe3Rh, optimized geometry
data_SrBe3Rh
_chemical_formula_sum 'Sr1 Be3 Rh1'
_space_group_name_H-M_alt 'P m -3 m'
_space_group_IT_number 221
_space_group_name_Hall '-P 4 2 3'
_cell_length_a 4.3872
_cell_length_b 4.3872
_cell_length_c 4.3872
_cell_angle_alpha 90.00
_cell_angle_beta 90.00
_cell_angle_gamma 90.00
loop_
_atom_site_label
_atom_site_fract_x
_atom_site_fract_y
_atom_site_fract_z
Sr1 0.0000 0.0000 0.0000
Be1 0.0000 0.5000 0.5000
Rh1 0.5000 0.5000 0.5000
# Excess energy over the best structure of this formula in the dataset   0.0 meV per atom
# Theoretical density   4.28 g cm⁻³
# Crystal system   cubic
# Energy of formation from the pure elements   -96 meV/atom

=====

# PBE UOsPb, optimized geometry
data_UOsPb
_chemical_formula_sum 'U4 Os4 Pb4'
_space_group_name_H-M_alt 'C 1 2/m 1'
_space_group_IT_number 12
_cell_length_a 4.8048
_cell_length_b 4.8114
_cell_length_c 11.5989
_cell_angle_alpha 90.00
_cell_angle_beta 90.25
_cell_angle_gamma 90.00
loop_
_space_group_symop_operation_xyz
'x,y,z'
'-x,-y,-z'
'-x,y,-z'
'x,-y,z'
'x+1/2,y+1/2,z'
'-x+1/2,-y+1/2,-z'
'-x+1/2,y+1/2,-z'
'x+1/2,-y+1/2,z'
loop_
_atom_site_label
_atom_site_fract_x
_atom_site_fract_y
_atom_site_fract_z
U1 0.2494 0.0000 0.4295
Os1 0.2484 0.5000 0.3099
Pb1 0.2458 0.0000 0.1286
# Theoretical density   15.74 g cm⁻³
# Crystal system   monoclinic
# Energy of formation from the pure elements   78 meV/atom

=====

# PBE Pm7Zn2Pt2, optimized geometry
data_Pm7Zn2Pt2
_chemical_formula_sum 'Pm14 Zn4 Pt4'
_space_group_name_H-M_alt 'C m m m'
_space_group_IT_number 65
_space_group_name_Hall '-C 2 2'
_cell_length_a 8.0251
_cell_length_b 11.1276
_cell_length_c 7.2810
_cell_angle_alpha 90.00
_cell_angle_beta 90.00
_cell_angle_gamma 90.00
loop_
_atom_site_label
_atom_site_fract_x
_atom_site_fract_y
_atom_site_fract_z
Pm1 0.0000 0.0000 0.0000
Pm2 0.0000 0.5000 0.2595
Pm3 0.2500 0.2500 0.2650
Zn1 0.1634 0.0000 0.5000
Pt1 0.0000 0.2908 0.0000
# Theoretical density   7.85 g cm⁻³
# Crystal system   orthorhombic
# Energy of formation from the pure elements   -401 meV/atom

=====

# PBE Cs3AgCl5, optimized geometry
data_Cs3AgCl5
_chemical_formula_sum 'Cs12 Ag4 Cl20'
_space_group_name_H-M_alt 'I 4/m c m'
_space_group_IT_number 140
_space_group_name_Hall '-I 4 2c'
_cell_length_a 9.3353
_cell_length_b 9.3353
_cell_length_c 15.6934
_cell_angle_alpha 90.00
_cell_angle_beta 90.00
_cell_angle_gamma 90.00
loop_
_atom_site_label
_atom_site_fract_x
_atom_site_fract_y
_atom_site_fract_z
Cs1 0.0000 0.0000 0.2500
Cs2 0.1627 0.3373 0.0000
Ag1 0.0000 0.5000 0.2500
Cl1 0.0000 0.0000 0.0000
Cl2 0.1421 0.3579 0.3538
# Uncorrected formation energy   -1403 meV per atom
# Theoretical density   3.32 g cm⁻³
# Crystal system   tetragonal

=====

# PBE AlTlGe2Se6, optimized geometry
data_AlTlGe2Se6
_chemical_formula_sum 'Al4 Tl4 Ge8 Se24'
_space_group_name_H-M_alt 'C 1 2/c 1'
_space_group_IT_number 15
_cell_length_a 13.8828
_cell_length_b 12.8080
_cell_length_c 7.3310
_cell_angle_alpha 90.00
_cell_angle_beta 116.43
_cell_angle_gamma 90.00
loop_
_space_group_symop_operation_xyz
'x,y,z'
'-x,-y,-z'
'-x,y,-z+1/2'
'x,-y,z+1/2'
'x+1/2,y+1/2,z'
'-x+1/2,-y+1/2,-z'
'-x+1/2,y+1/2,-z+1/2'
'x+1/2,-y+1/2,z+1/2'
loop_
_atom_site_label
_atom_site_fract_x
_atom_site_fract_y
_atom_site_fract_z
Al1 0.0000 0.1726 0.2500
Tl1 0.0000 0.3145 0.7500
Ge1 0.2174 0.4134 0.3355
Se1 0.0948 0.0738 0.5694
Se2 0.1273 0.4656 0.5390
Se3 0.1509 0.2422 0.2051
# Uncorrected formation energy   -386 meV per atom
# Theoretical density   4.84 g cm⁻³
# Crystal system   monoclinic

=====

# PBE Hg2BI, optimized geometry
data_Hg2BI
_chemical_formula_sum 'Hg8 B4 I4'
_space_group_name_H-M_alt 'F m -3 m'
_space_group_IT_number 225
_space_group_name_Hall '-F 4 2 3'
_cell_length_a 7.6018
_cell_length_b 7.6018
_cell_length_c 7.6018
_cell_angle_alpha 90.00
_cell_angle_beta 90.00
_cell_angle_gamma 90.00
loop_
_atom_site_label
_atom_site_fract_x
_atom_site_fract_y
_atom_site_fract_z
Hg1 0.2500 0.2500 0.2500
B1 0.0000 0.0000 0.0000
I1 0.0000 0.0000 0.5000
# Uncorrected formation energy   1252 meV per atom
# Excess energy over the best structure of this formula in the dataset   745.6 meV per atom
# Theoretical density   8.15 g cm⁻³
# Crystal system   cubic

=====

# PBE KBe2Ge, optimized geometry
data_KBe2Ge
_chemical_formula_sum 'K2 Be4 Ge2'
_space_group_name_H-M_alt 'P 1 21/m 1'
_space_group_IT_number 11
_cell_length_a 3.5880
_cell_length_b 4.2692
_cell_length_c 11.6994
_cell_angle_alpha 90.00
_cell_angle_beta 97.73
_cell_angle_gamma 90.00
loop_
_space_group_symop_operation_xyz
'x,y,z'
'-x,-y,-z'
'-x,y+1/2,-z'
'x,-y+1/2,z'
loop_
_atom_site_label
_atom_site_fract_x
_atom_site_fract_y
_atom_site_fract_z
K1 0.1369 0.2500 0.3098
Be1 0.0000 0.0000 0.0000
Be2 0.4733 0.7500 0.9393
Ge1 0.4382 0.2500 0.8571
# Theoretical density   2.43 g cm⁻³
# Crystal system   monoclinic
# Energy of formation from the pure elements   29 meV/atom

=====

# PBE YCdN2, optimized geometry
data_YCdN2
_chemical_formula_sum 'Y3 Cd3 N6'
_space_group_name_H-M_alt 'R -3 m'
_space_group_IT_number 166
_space_group_name_Hall '-R 3 2"'
_cell_length_a 3.6401
_cell_length_b 3.6401
_cell_length_c 19.0373
_cell_angle_alpha 90.00
_cell_angle_beta 90.00
_cell_angle_gamma 120.00
loop_
_atom_site_label
_atom_site_fract_x
_atom_site_fract_y
_atom_site_fract_z
Y1 0.0000 0.0000 0.0000
Cd1 0.0000 0.0000 0.5000
N1 0.0000 0.0000 0.3927
# Uncorrected formation energy   -212 meV per atom
# Theoretical density   5.23 g cm⁻³
# Crystal system   trigonal

=====

# PBE Li12CaHg4, optimized geometry
data_Li12CaHg4
_chemical_formula_sum 'Li24 Ca2 Hg8'
_space_group_name_H-M_alt 'I m -3'
_space_group_IT_number 204
_space_group_name_Hall '-I 2 2 3'
_cell_length_a 9.2392
_cell_length_b 9.2392
_cell_length_c 9.2392
_cell_angle_alpha 90.00
_cell_angle_beta 90.00
_cell_angle_gamma 90.00
loop_
_atom_site_label
_atom_site_fract_x
_atom_site_fract_y
_atom_site_fract_z
Li1 0.0000 0.3500 0.1611
Ca1 0.0000 0.0000 0.0000
Hg1 0.2500 0.2500 0.2500
# Theoretical density   3.90 g cm⁻³
# Crystal system   cubic
# Energy of formation from the pure elements   -64 meV/atom

=====

> theoretical density of number 1 (Co3Ni9P4)?

7.85 g cm⁻³